Entry from OQMD via LeMat-Bulk: crystalline Nd2Al3Tc at its relaxed geometry (PBE-GGA). Values from VASP.

Values from the calculation:
Raw total energy in eV/cell: -67.44

The structure in Quantum ESPRESSO input format:
```
&SYSTEM
  ibrav = 0, nat = 12, ntyp = 3
/
ATOMIC_SPECIES
Nd 144.24 Nd.upf
Al 26.98 Al.upf
Tc 98.00 Tc.upf
CELL_PARAMETERS angstrom
5.672 0.000 0.000
-2.836 4.912 0.000
0.000 0.000 8.992
ATOMIC_POSITIONS angstrom
Nd 0.000 3.275 0.458
Nd 0.000 3.275 4.038
Nd 2.836 1.637 4.954
Nd 2.836 1.637 8.534
Al 0.000 1.565 6.744
Al -1.480 4.129 6.744
Al 1.356 0.783 2.248
Al 1.480 4.129 6.744
Al 4.316 0.783 2.248
Al 2.836 3.347 2.248
Tc 0.000 0.000 0.000
Tc 0.000 0.000 4.496
```

Entry from OQMD via LeMat-Bulk: crystalline Nd2Al2Ni3Pd at its relaxed geometry (PBE-GGA). Values from VASP.

Values from the calculation:
Raw total energy in eV/cell: -43.70

The structure in Quantum ESPRESSO input format:
```
&SYSTEM
  ibrav = 0, nat = 8, ntyp = 4
/
ATOMIC_SPECIES
Nd 144.24 Nd.upf
Al 26.98 Al.upf
Ni 58.69 Ni.upf
Pd 106.42 Pd.upf
CELL_PARAMETERS angstrom
4.228 0.000 0.000
-2.114 3.662 0.000
0.000 0.000 9.502
ATOMIC_POSITIONS angstrom
Nd 0.000 0.000 0.000
Nd 0.000 2.441 4.866
Al 2.114 1.221 2.304
Al 2.114 1.221 7.183
Ni 0.000 0.000 6.685
Ni 0.000 2.441 1.851
Ni 0.000 2.441 7.663
Pd 0.000 0.000 3.037
```

Entry from OQMD via LeMat-Bulk: crystalline PmTePO at its relaxed geometry (PBE-GGA). Values from VASP.

Values from the calculation:
Relative energy among the computed polymorphs in meV/atom: 420

The structure in Quantum ESPRESSO input format:
```
&SYSTEM
  ibrav = 0, nat = 8, ntyp = 4
/
ATOMIC_SPECIES
Pm 145.00 Pm.upf
Te 127.60 Te.upf
P 30.97 P.upf
O 16.00 O.upf
CELL_PARAMETERS angstrom
5.638 0.000 0.000
0.000 5.638 0.000
0.000 0.000 5.186
ATOMIC_POSITIONS angstrom
Pm 1.410 4.229 0.000
Pm 4.229 1.410 0.000
Te 1.410 1.410 2.575
Te 4.229 4.229 2.611
P 1.410 1.410 5.028
P 4.229 4.229 0.157
O 1.410 4.229 2.593
O 4.229 1.410 2.593
```

Entry from OQMD via LeMat-Bulk: crystalline NdZrSi at its relaxed geometry (PBE-GGA). Values from VASP.

Values from the calculation:
Relative energy among the computed polymorphs in meV/atom: 0

The structure in Quantum ESPRESSO input format:
```
&SYSTEM
  ibrav = 0, nat = 3, ntyp = 3
/
ATOMIC_SPECIES
Nd 144.24 Nd.upf
Zr 91.22 Zr.upf
Si 28.09 Si.upf
CELL_PARAMETERS angstrom
0.000 3.364 3.364
3.364 0.000 3.364
3.364 3.364 0.000
ATOMIC_POSITIONS angstrom
Nd 0.000 0.000 0.000
Zr 3.364 3.364 3.364
Si 1.682 1.682 1.682
```

Entry from OQMD via LeMat-Bulk: crystalline Dy4InSn4Pd2 at its relaxed geometry (PBE-GGA). Values from VASP.

Values from the calculation:
Raw total energy in eV/cell: -55.76

The structure in Quantum ESPRESSO input format:
```
&SYSTEM
  ibrav = 0, nat = 11, ntyp = 4
/
ATOMIC_SPECIES
Dy 162.50 Dy.upf
In 114.82 In.upf
Sn 118.71 Sn.upf
Pd 106.42 Pd.upf
CELL_PARAMETERS angstrom
8.220 -2.267 0.000
8.220 2.267 0.000
-2.413 0.000 7.155
ATOMIC_POSITIONS angstrom
Dy 0.529 0.000 2.768
Dy 0.318 0.000 6.701
Dy 13.708 0.000 0.454
Dy 13.497 0.000 4.387
In 8.220 0.000 0.000
Sn 3.236 0.000 5.438
Sn 6.326 0.000 2.343
Sn 7.700 0.000 4.812
Sn 10.791 0.000 1.717
Pd 3.663 0.000 2.689
Pd 10.364 0.000 4.466
```

Entry from OQMD via LeMat-Bulk: crystalline Gd3Ni at its relaxed geometry (PBE-GGA). Values from VASP.

Values from the calculation:
Formation enthalpy at 0 K in kcal/mol of atoms: 1.79
Relative energy among the computed polymorphs in meV/atom: 0

The structure in Quantum ESPRESSO input format:
```
&SYSTEM
  ibrav = 0, nat = 8, ntyp = 2
/
ATOMIC_SPECIES
Gd 157.25 Gd.upf
Ni 58.69 Ni.upf
CELL_PARAMETERS angstrom
7.045 0.000 0.000
-3.523 6.101 0.000
0.000 0.000 4.679
ATOMIC_POSITIONS angstrom
Gd 0.000 2.227 1.170
Gd -1.594 4.988 1.170
Gd 1.929 1.114 3.509
Gd 1.594 4.988 1.170
Gd 5.116 1.114 3.509
Gd 3.523 3.874 3.509
Ni 0.000 4.068 3.509
Ni 3.523 2.034 1.170
```

Listing magnetic moment for the structures above in their given order: 0.0 0.0 0.0 0.0 0.0 0.0 μB/cell.
Listing calculated density for the structures above in their given order: 6.20 7.05 6.44 5.75 9.04 8.76 g cm⁻³.